[1]
Nb6Tc5W | PBE | relaxed

* D(E_F): 0.416 states/eV per atom
* energy of formation from the pure elements: -0.2968 eV per atom
* energy: -257.5 eV for the cell shown

a b c (Å): 4.5163 6.4081 13.6110
angles (deg): 90.00 90.00 90.00
Space group Immm (No. 71)
Symmetry-distinct sites (fractional):
Nb 0.0000 0.2489 0.0000 [4 per cell]
Nb 0.0000 0.2504 0.3330 [8 per cell]
Tc 0.0000 0.0000 0.1670 [4 per cell]
Tc 0.0000 0.5000 0.1676 [4 per cell]
Tc 0.0000 0.5000 0.5000 [2 per cell]
W 0.0000 0.0000 0.5000 [2 per cell]

=====

[2]
Mg3ZrFe | PBE | relaxed

* offset from the most stable computed form: 0 meV per atom
* D(E_F): 1.181 states/eV per atom
* energy of formation from the pure elements: 0.6301 eV per atom
* energy: -18.6 eV for the cell shown

a b c (Å): 4.6985 4.6985 4.6985
angles (deg): 90.00 90.00 90.00
Space group Pm-3m (No. 221)
Symmetry-distinct sites (fractional):
Mg 0.0000 0.0000 0.5000 [3 per cell]
Zr 0.5000 0.5000 0.5000 [1 per cell]
Fe 0.0000 0.0000 0.0000 [1 per cell]

=====

[3]
LiRu2W | PBE | relaxed

* offset from the most stable computed form: 165 meV per atom
* D(E_F): 0.387 states/eV per atom
* energy of formation from the pure elements: 0.1099 eV per atom
* energy: -98.9 eV for the cell shown

a b c (Å): 2.7580 2.7580 26.7659
angles (deg): 90.00 90.00 120.00
Space group R-3m (No. 166, hexagonal axes)
Symmetry-distinct sites (fractional):
Li 0.0000 0.0000 0.0000 [3 per cell]
Ru 0.0000 0.0000 0.2483 [6 per cell]
W 0.0000 0.0000 0.5000 [3 per cell]

=====

[4]
La4TcHgBr2 | PBE | relaxed

* D(E_F): 0.703 states/eV per atom
* formation energy (no corrections): -0.7793 eV per atom
* energy: -40.0 eV for the cell shown

a b c (Å): 7.7465 4.2341 8.3239
angles (deg): 90.00 107.87 90.00
Space group P2/m (No. 10)
Symmetry-distinct sites (fractional):
La 0.2133 0.0000 0.2933 [2 per cell]
La 0.2226 0.5000 0.7045 [2 per cell]
Tc 0.0000 0.0000 0.5000 [1 per cell]
Hg 0.5000 0.5000 0.5000 [1 per cell]
Br 0.0000 0.5000 0.0000 [1 per cell]
Br 0.5000 0.0000 0.0000 [1 per cell]

=====

[5]
ErMg2In2Ag2 | PBE | relaxed

* D(E_F): 0.539 states/eV per atom
* energy of formation from the pure elements: -0.2032 eV per atom
* energy: -61.1 eV for the cell shown

a b c (Å): 4.7097 4.7097 24.2393
angles (deg): 90.00 90.00 120.00
Space group R-3m (No. 166, hexagonal axes)
Symmetry-distinct sites (fractional):
Er 0.0000 0.0000 0.0000 [3 per cell]
Mg 0.0000 0.0000 0.1372 [6 per cell]
In 0.0000 0.0000 0.2665 [6 per cell]
Ag 0.0000 0.0000 0.4361 [6 per cell]

=====

[6]
CaHgSe4 | PBE | relaxed

* D(E_F): 0.185 states/eV per atom
* formation energy (no corrections): -0.2310 eV per atom
* energy: -70.5 eV for the cell shown

a b c (Å): 8.3324 8.3324 8.3324
angles (deg): 90.00 90.00 90.00
Space group F-43m (No. 216)
Symmetry-distinct sites (fractional):
Ca 0.0000 0.0000 0.0000 [4 per cell]
Hg 0.2500 0.2500 0.7500 [4 per cell]
Se 0.1249 0.1249 0.3751 [16 per cell]

=====

[7]
Li2ZrSbC | PBE | relaxed

* D(E_F): 1.148 states/eV per atom
* formation energy (no corrections): 2.0157 eV per atom
* energy: -15.6 eV for the cell shown

a b c (Å): 5.8696 5.8696 5.4419
angles (deg): 90.00 90.00 90.00
Space group P4/mmm (No. 123)
Symmetry-distinct sites (fractional):
Li 0.0000 0.5000 0.0000 [2 per cell]
Zr 0.0000 0.0000 0.0000 [1 per cell]
Sb 0.0000 0.0000 0.5000 [1 per cell]
C 0.5000 0.5000 0.5000 [1 per cell]

=====

[8]
YU2F11 | PBE | relaxed

* D(E_F): 0.385 states/eV per atom
* formation energy (no corrections): -3.7453 eV per atom
* energy: -408.2 eV for the cell shown

a b c (Å): 8.4527 10.4300 11.0111
angles (deg): 90.00 90.00 90.00
Space group Ibam (No. 72)
Symmetry-distinct sites (fractional):
Y 0.0000 0.0000 0.2500 [4 per cell]
U 0.1508 0.3172 0.0000 [8 per cell]
F 0.0000 0.5000 0.0000 [4 per cell]
F 0.0916 0.1734 0.1414 [16 per cell]
F 0.1265 0.2874 0.5000 [8 per cell]
F 0.2156 0.0716 0.3622 [16 per cell]

=====

[9]
CsSb | PBE | relaxed

* offset from the most stable computed form: 136 meV per atom
* D(E_F): 0.394 states/eV per atom
* formation energy (no corrections): -0.3283 eV per atom
* energy: -45.1 eV for the cell shown

a b c (Å): 14.6897 14.6897 5.1312
angles (deg): 90.00 90.00 90.00
Space group P4/mmm (No. 123)
Symmetry-distinct sites (fractional):
Cs 0.0000 0.3305 0.0000 [4 per cell]
Cs 0.3277 0.3277 0.5000 [4 per cell]
Sb 0.1082 0.5000 0.5000 [4 per cell]
Sb 0.2095 0.5000 0.0000 [4 per cell]

=====

[10]
PmP3Rh3 | PBE | relaxed

* D(E_F): 0.597 states/eV per atom
* energy of formation from the pure elements: -0.8878 eV per atom
* energy: -295.5 eV for the cell shown

a b c (Å): 6.7373 6.7373 19.9247
angles (deg): 90.00 90.00 120.00
Space group R-3 (No. 148, hexagonal axes)
Symmetry-distinct sites (fractional):
Pm 0.0000 0.0000 0.1665 [6 per cell]
P 0.0027 0.6829 0.5921 [18 per cell]
Rh 0.0037 0.6613 0.3784 [18 per cell]

=====

[11]
Mn6Os2N | PBE | relaxed

* D(E_F): 0.952 states/eV per atom
* formation energy (no corrections): -0.0782 eV per atom
* energy: -173.0 eV for the cell shown

a b c (Å): 7.3552 10.5886 2.6457
angles (deg): 90.00 90.00 90.00
Space group Cmmm (No. 65)
Symmetry-distinct sites (fractional):
Mn 0.0000 0.1335 0.0000 [4 per cell]
Mn 0.2402 0.5000 0.5000 [4 per cell]
Mn 0.2500 0.2500 0.5000 [4 per cell]
Os 0.0000 0.3714 0.0000 [4 per cell]
N 0.0000 0.0000 0.5000 [2 per cell]

=====

[12]
Mg2ZnSi2Ni5 | PBE | relaxed

* D(E_F): 0.586 states/eV per atom
* formation energy (no corrections): -0.3608 eV per atom
* energy: -95.6 eV for the cell shown

a b c (Å): 9.0436 9.0436 3.2240
angles (deg): 90.00 90.00 90.00
Space group P4/mbm (No. 127)
Symmetry-distinct sites (fractional):
Mg 0.1732 0.3268 0.0000 [4 per cell]
Zn 0.0000 0.0000 0.0000 [2 per cell]
Si 0.1255 0.6255 0.0000 [4 per cell]
Ni 0.0000 0.5000 0.5000 [2 per cell]
Ni 0.0662 0.7931 0.5000 [8 per cell]

=====

V for the records above, in order: 394 104 176 260 466 579 187 971 1107 783 206 264 Å³ per cell